(1)
Here is a relaxed EuZnAgBi crystal from the Alexandria database. Energies are from PBE-GGA.

Calculated values
Formation energy from the elements in eV/atom: -0.28
Theoretical density in g/cm³: 8.9
Volume in A^3/atom: 24.89

Cell and atoms, written as CIF:
```
data_EuZnAgBi
_space_group_name_H-M_alt 'F -4 3 m'
_space_group_IT_number 216
_space_group_name_Hall 'F -4 2 3'
_cell_length_a 7.3577
_cell_length_b 7.3577
_cell_length_c 7.3577
_cell_angle_alpha 90.00
_cell_angle_beta 90.00
_cell_angle_gamma 90.00
loop_
_atom_site_label
_atom_site_fract_x
_atom_site_fract_y
_atom_site_fract_z
_atom_site_occupancy
Eu1 0.0000 0.0000 0.0000 1
Zn1 0.2500 0.2500 0.7500 1
Ag1 0.2500 0.2500 0.2500 1
Bi1 0.0000 0.0000 0.5000 1
```

(2)
Here is a relaxed Ac3Pr3Hg4 crystal from the Alexandria database. Energies are from PBE-GGA.

Calculated values
Formation energy from the elements in eV/atom: -0.34
Theoretical density in g/cm³: 9.4
Volume in A^3/atom: 33.80

Cell and atoms, written as CIF:
```
data_Ac3Pr3Hg4
_space_group_name_H-M_alt 'A m m 2'
_space_group_IT_number 38
_cell_length_a 4.0525
_cell_length_b 12.9082
_cell_length_c 12.9236
_cell_angle_alpha 90.00
_cell_angle_beta 90.00
_cell_angle_gamma 90.00
loop_
_space_group_symop_operation_xyz
'x,y,z'
'-x,-y,z'
'-x,y,z'
'x,-y,z'
'x,y+1/2,z+1/2'
'-x,-y+1/2,z+1/2'
'-x,y+1/2,z+1/2'
'x,-y+1/2,z+1/2'
loop_
_atom_site_label
_atom_site_fract_x
_atom_site_fract_y
_atom_site_fract_z
_atom_site_occupancy
Ac1 0.0000 0.0000 0.0000 1
Ac2 0.0000 0.1647 0.6584 1
Pr1 0.0000 0.0000 0.3249 1
Pr2 0.5000 0.2432 0.4080 1
Hg1 0.5000 0.0000 0.5189 1
Hg2 0.5000 0.0000 0.7939 1
Hg3 0.5000 0.1303 0.1675 1
```